Record 1
# BaSbAs | the Alexandria database | PBE | optimized geometry
# energy relative to the elements, uncorrected: -773.7 meV/atom
# space group: Amm2, No. 38
data_BaSbAs
_space_group_name_H-M_alt 'P 1'
_space_group_IT_number 1
_cell_length_a 4.506
_cell_length_b 10.174
_cell_length_c 10.174
_cell_angle_alpha 154.50
_cell_angle_beta 90.00
_cell_angle_gamma 90.00
loop_
_space_group_symop_operation_xyz
'x,y,z'
loop_
_atom_site_label
_atom_site_fract_x
_atom_site_fract_y
_atom_site_fract_z
_atom_site_occupancy
Ba1 0.000 0.148 0.852 1
Ba2 0.000 0.852 0.148 1
Sb1 0.000 0.494 0.494 1
Sb2 0.500 0.071 0.071 1
As1 0.500 0.283 0.721 1
As2 0.500 0.721 0.283 1

---

Record 2
# BaSb2As | the Alexandria database | PBE | optimized geometry
# energy relative to the elements, uncorrected: -212.0 meV/atom
# space group: Cmmm, No. 65
data_BaSb2As
_space_group_name_H-M_alt 'P 1'
_space_group_IT_number 1
_cell_length_a 4.251
_cell_length_b 4.251
_cell_length_c 6.835
_cell_angle_alpha 90.00
_cell_angle_beta 90.00
_cell_angle_gamma 97.36
loop_
_space_group_symop_operation_xyz
'x,y,z'
loop_
_atom_site_label
_atom_site_fract_x
_atom_site_fract_y
_atom_site_fract_z
_atom_site_occupancy
Ba1 0.000 0.000 0.000 1
Sb1 0.500 0.500 0.296 1
Sb2 0.500 0.500 0.704 1
As1 0.000 0.000 0.500 1

---

Record 3
# BaSb2As | the Alexandria database | PBE | optimized geometry
# energy relative to the elements, uncorrected: -208.6 meV/atom
# space group: P4/mmm, No. 123
data_BaSb2As
_space_group_name_H-M_alt 'P 1'
_space_group_IT_number 1
_cell_length_a 4.258
_cell_length_b 4.258
_cell_length_c 6.745
_cell_angle_alpha 90.00
_cell_angle_beta 90.00
_cell_angle_gamma 90.00
loop_
_space_group_symop_operation_xyz
'x,y,z'
loop_
_atom_site_label
_atom_site_fract_x
_atom_site_fract_y
_atom_site_fract_z
_atom_site_occupancy
Ba1 0.000 0.000 0.000 1
Sb1 0.500 0.500 0.297 1
Sb2 0.500 0.500 0.703 1
As1 0.000 0.000 0.500 1

---

Record 4
# BaSbAs2 | the Alexandria database | PBE | optimized geometry
# energy relative to the elements, uncorrected: -343.3 meV/atom
# space group: Imm2, No. 44
data_BaSbAs2
_space_group_name_H-M_alt 'P 1'
_space_group_IT_number 1
_cell_length_a 6.216
_cell_length_b 6.216
_cell_length_c 6.216
_cell_angle_alpha 144.60
_cell_angle_beta 125.80
_cell_angle_gamma 66.42
loop_
_space_group_symop_operation_xyz
'x,y,z'
loop_
_atom_site_label
_atom_site_fract_x
_atom_site_fract_y
_atom_site_fract_z
_atom_site_occupancy
Ba1 0.000 0.000 0.000 1
Sb1 0.706 0.206 0.500 1
As1 0.290 0.790 0.500 1
As2 0.467 0.467 0.000 1

---

Number 1: volume 33.47 Å³/atom. Number 2: volume 30.62 Å³/atom. Number 3: volume 30.57 Å³/atom. Number 4: volume 27.83 Å³/atom.